Record 1
DFT (PBE) results for crystalline LiSmPuOs at its relaxed geometry.

Size of the total moment: 5.5 Bohr magnetons per cell
Space group: F-43m (216)
Electronic total energy: -8.05 eV per atom

Cell: 4.928 4.928 4.928 Å, 60.00 60.00 60.00°
Fractional positions:
Li 0.000 0.000 0.000
Os 0.500 0.500 0.500
Sm 0.250 0.250 0.250
Pu 0.750 0.750 0.750


Record 2
DFT (PBE) results for crystalline LiPuSnOs at its relaxed geometry.

Size of the total moment: 5.2 Bohr magnetons per cell
Space group: F-43m (216)
Electronic total energy: -7.95 eV per atom

Cell: 4.735 4.735 4.735 Å, 60.00 60.00 60.00°
Fractional positions:
Li 0.500 0.500 0.500
Os 0.000 0.000 0.000
Sn 0.250 0.250 0.250
Pu 0.750 0.750 0.750


Record 3
DFT (PBE) results for crystalline LiPuTaOs at its relaxed geometry.

Size of the total moment: 5.3 Bohr magnetons per cell
Space group: F-43m (216)
Electronic total energy: -9.68 eV per atom

Cell: 4.654 4.654 4.654 Å, 60.00 60.00 60.00°
Fractional positions:
Ta 0.250 0.250 0.250
Os 0.500 0.500 0.500
Li 0.000 0.000 0.000
Pu 0.750 0.750 0.750


Record 4
DFT (PBE) results for crystalline LiPuTiOs at its relaxed geometry.

Size of the total moment: 6.0 Bohr magnetons per cell
Space group: F-43m (216)
Electronic total energy: -8.85 eV per atom

Cell: 4.620 4.620 4.620 Å, 60.00 60.00 60.00°
Fractional positions:
Ti 0.750 0.750 0.750
Os 0.000 0.000 0.000
Li 0.500 0.500 0.500
Pu 0.250 0.250 0.250


Record 5
DFT (PBE) results for crystalline LiPuUOs at its relaxed geometry.

Size of the total moment: 5.2 Bohr magnetons per cell
Space group: F-43m (216)
Electronic total energy: -9.69 eV per atom

Cell: 4.608 4.608 4.608 Å, 60.00 60.00 60.00°
Fractional positions:
Os 0.000 0.000 0.000
Li 0.750 0.750 0.750
U 0.250 0.250 0.250
Pu 0.500 0.500 0.500


Record 6
DFT (PBE) results for crystalline LiYPuOs at its relaxed geometry.

Size of the total moment: 5.5 Bohr magnetons per cell
Space group: F-43m (216)
Electronic total energy: -8.54 eV per atom

Cell: 4.885 4.885 4.885 Å, 60.00 60.00 60.00°
Fractional positions:
Y 0.250 0.250 0.250
Li 0.000 0.000 0.000
Os 0.500 0.500 0.500
Pu 0.750 0.750 0.750


Record 7
DFT (PBE) results for crystalline LiPuZnOs at its relaxed geometry.

Size of the total moment: 4.9 Bohr magnetons per cell
Space group: F-43m (216)
Electronic total energy: -6.97 eV per atom

Cell: 4.631 4.631 4.631 Å, 60.00 60.00 60.00°
Fractional positions:
Zn 0.250 0.250 0.250
Li 0.000 0.000 0.000
Os 0.750 0.750 0.750
Pu 0.500 0.500 0.500


Record 8
DFT (PBE) results for crystalline Rb2LiOsRh at its relaxed geometry.

Size of the total moment: 4.0 Bohr magnetons per cell
Space group: P4/mmm (123)
Electronic total energy: -2.62 eV per atom

Cell: 5.804 4.775 5.804 Å, 90.00 90.00 90.00°
Fractional positions:
Rh 0.500 0.500 0.500
Os 0.000 0.000 0.000
Rb 0.000 0.000 0.500
Rb 0.500 0.000 0.000
Li 0.000 0.500 0.000